First-principles (PBE) data for BeTePCl2 after structural relaxation, as listed in the Alexandria database.

```
BeTePCl2
1.0
4.083 0.000 0.000
0.000 4.083 0.000
0.000 0.000 8.022
Be Te P Cl
1 1 1 2
Direct
0.000 0.000 0.000
0.500 0.500 0.500
0.000 0.000 0.500
0.000 0.500 0.000
0.500 0.000 0.000
```

Summary:
Energy above the lowest structure with this stoichiometry   0 meV per atom
Density   2.961 Mg/m³
E_form (uncorrected)   -0.089 eV per atom